[1]
DFT (GGA-PBE) results for crystalline NaYbSn at its relaxed geometry.

a b c (Å): 5.227 5.227 10.983
angles (deg): 90.00 90.00 120.00
Atoms (fractional coordinates):
1 Na 0.667 0.333 0.201
2 Na 0.333 0.667 0.505
3 Na 0.667 0.333 0.809
4 Yb 0.000 0.000 0.669
5 Yb 0.000 0.000 0.340
6 Yb 0.000 0.000 0.005
7 Sn 0.667 0.333 0.505
8 Sn 0.333 0.667 0.864
9 Sn 0.333 0.667 0.145

## Properties
- SG = No. 156
- formation energy (meV per atom) = -373
- mass density (g cm⁻³) = 6.03

---

[2]
DFT (GGA-PBE) results for crystalline HgAs2SeCl at its relaxed geometry.

a b c (Å): 4.934 4.934 5.294
angles (deg): 90.00 90.00 90.00
Atoms (fractional coordinates):
1 As 0.000 0.500 0.000
2 As 0.500 0.000 0.000
3 Hg 0.500 0.500 0.500
4 Se 0.000 0.000 0.500
5 Cl 0.000 0.000 0.000

## Properties
- SG = No. 123
- E above lowest polymorph (meV per atom) = 14.0
- raw formation energy (eV per atom) = 0.968
- mass density (g cm⁻³) = 5.99

---

[3]
DFT (GGA-PBE) results for crystalline Ce2YSc at its relaxed geometry.

a b c (Å): 5.522 5.522 5.522
angles (deg): 60.00 60.00 60.00
Atoms (fractional coordinates):
1 Y 0.500 0.500 0.500
2 Sc 0.000 0.000 0.000
3 Ce 0.250 0.250 0.250
4 Ce 0.750 0.750 0.750

## Properties
- SG = No. 225
- formation energy (meV per atom) = 207
- E above lowest polymorph (meV per atom) = 110.2
- mass density (g cm⁻³) = 5.78

---

[4]
DFT (GGA-PBE) results for crystalline RbAg2Bi at its relaxed geometry.

a b c (Å): 5.865 5.865 10.255
angles (deg): 73.39 73.39 90.00
Atoms (fractional coordinates):
1 Rb 0.500 0.500 0.000
2 Rb 0.250 0.750 0.500
3 Bi 0.000 0.000 0.000
4 Bi 0.750 0.250 0.500
5 Ag 0.874 0.125 0.250
6 Ag 0.876 0.625 0.250
7 Ag 0.375 0.126 0.750
8 Ag 0.875 0.124 0.750

## Properties
- SG = No. 122
- formation energy (meV per atom) = -13
- E above lowest polymorph (meV per atom) = 119.3
- mass density (g cm⁻³) = 5.25

---

[5]
DFT (GGA-PBE) results for crystalline La6NiRu2Cl3 at its relaxed geometry.

a b c (Å): 7.117 7.117 8.063
angles (deg): 98.46 98.46 120.00
Atoms (fractional coordinates):
1 La 0.932 0.594 0.796
2 La 0.730 0.730 0.204
3 La 0.068 0.406 0.204
4 La 0.594 0.932 0.796
5 La 0.270 0.270 0.796
6 La 0.406 0.068 0.204
7 Ni 0.000 0.000 0.000
8 Ru 0.334 0.666 0.000
9 Ru 0.666 0.334 0.000
10 Cl 0.170 0.830 0.500
11 Cl 0.830 0.170 0.500
12 Cl 0.500 0.500 0.500

## Properties
- SG = No. 12
- raw formation energy (eV per atom) = -1.045
- mass density (g cm⁻³) = 5.90

---

[6]
DFT (GGA-PBE) results for crystalline Nd6TlSb2Te3 at its relaxed geometry.

a b c (Å): 4.490 9.108 10.113
angles (deg): 103.03 102.83 90.00
Atoms (fractional coordinates):
1 Nd 0.336 0.913 0.671
2 Nd 0.669 0.578 0.338
3 Nd 0.664 0.087 0.329
4 Nd 0.001 0.248 0.002
5 Nd 0.999 0.752 0.998
6 Nd 0.331 0.422 0.662
7 Tl 0.500 0.000 0.000
8 Sb 0.833 0.667 0.667
9 Sb 0.167 0.333 0.333
10 Te 0.500 0.500 0.000
11 Te 0.832 0.167 0.664
12 Te 0.168 0.833 0.336

## Properties
- SG = No. 12
- raw formation energy (eV per atom) = -1.198
- mass density (g cm⁻³) = 7.18

---

[7]
DFT (GGA-PBE) results for crystalline ZrSc2Tc at its relaxed geometry.

a b c (Å): 3.329 3.329 7.617
angles (deg): 90.00 90.00 90.00
Atoms (fractional coordinates):
1 Sc 0.000 0.000 0.985
2 Sc 0.500 0.500 0.302
3 Tc 0.000 0.000 0.508
4 Zr 0.500 0.500 0.705

## Properties
- SG = No. 99
- formation energy (meV per atom) = -154
- E above lowest polymorph (meV per atom) = 19.3
- mass density (g cm⁻³) = 5.49

---

[8]
DFT (GGA-PBE) results for crystalline Be3N2 at its relaxed geometry.

a b c (Å): 4.490 4.490 4.634
angles (deg): 61.03 61.03 60.00
Atoms (fractional coordinates):
1 Be 0.043 0.750 0.750
2 Be 0.750 0.457 0.750
3 Be 0.457 0.043 0.750
4 Be 0.250 0.543 0.250
5 Be 0.543 0.957 0.250
6 Be 0.957 0.250 0.250
7 N 0.863 0.863 0.411
8 N 0.363 0.363 0.911
9 N 0.137 0.137 0.589
10 N 0.637 0.637 0.089

## Properties
- SG = No. 167
- E above lowest polymorph (meV per atom) = 211.1
- raw formation energy (eV per atom) = -0.875
- mass density (g cm⁻³) = 2.73